[1]
Computed, not measured: crystalline Nd7Zn2Hg2 at its relaxed geometry at the GGA-PBE level of DFT.

As for the space-group type: Cmmm. The value obtained for the density of states at the Fermi level is 13.761 states/eV/f.u.

Lattice parameters (Å, degrees): 6.8334 7.9260 6.8334 90.00 110.86 90.00
With the nearest neighbours (Å) after each atom.
Atoms (fractional coordinates):
1 Nd 0.0000 0.2788 0.5000  2 Zn 2.97
2 Nd 0.5000 0.7212 0.0000  2 Zn 2.97
3 Nd 0.0000 0.7212 0.5000  2 Zn 2.97
4 Nd 0.5000 0.2788 0.0000  2 Zn 2.97
5 Nd 0.0000 0.0000 0.0000  2 Zn 3.25
6 Nd 0.5000 0.7546 0.5000  2 Zn 3.07, 2 Hg 3.18, 4 Nd 3.43
7 Nd 0.5000 0.2454 0.5000  2 Zn 3.07, 2 Hg 3.18, 4 Nd 3.43
8 Zn 0.7109 0.0000 0.2891  7 Nd 2.97-3.25
9 Zn 0.2891 0.0000 0.7109  7 Nd 2.97-3.25
10 Hg 0.8169 0.5000 0.8169  1 Hg 2.84, 2 Nd 3.18
11 Hg 0.1831 0.5000 0.1831  1 Hg 2.84, 2 Nd 3.18

[2]
Computed, not measured: crystalline NdZrHg2 at its relaxed geometry at the GGA-PBE level of DFT.

The energy relative to the lowest polymorph listed for this composition comes out at 0.22 eV per formula unit. As for the space-group type: P4/mmm. The value obtained for the density of states at the Fermi level is 4.211 states/eV/f.u.

Lattice parameters (Å, degrees): 4.2854 4.7933 4.7933 90.00 90.00 90.00
With the nearest neighbours (Å) after each atom.
Atoms (fractional coordinates):
1 Nd 0.5000 0.0000 0.0000  8 Hg 3.21, 4 Zr 3.39
2 Hg 0.0000 0.0000 0.5000  4 Zr 3.21, 4 Nd 3.21, 4 Hg 3.39
3 Hg 0.0000 0.5000 0.0000  4 Zr 3.21, 4 Nd 3.21, 4 Hg 3.39
4 Zr 0.5000 0.5000 0.5000  8 Hg 3.21, 4 Nd 3.39

[3]
Computed, not measured: crystalline Nd2ZrHg at its relaxed geometry at the GGA-PBE level of DFT.

The energy relative to the lowest polymorph listed for this composition comes out at 0.27 eV per formula unit. As for the space-group type: P4/mmm. The value obtained for the density of states at the Fermi level is 6.166 states/eV/f.u.

Lattice parameters (Å, degrees): 3.5021 5.6556 5.6556 90.00 90.00 90.00
With the nearest neighbours (Å) after each atom.
Atoms (fractional coordinates):
1 Nd 0.0000 0.0000 0.5000  4 Zr 3.33, 4 Hg 3.33, 2 Nd 3.50
2 Nd 0.0000 0.5000 0.0000  4 Hg 3.33, 4 Zr 3.33, 2 Nd 3.50
3 Hg 0.5000 0.5000 0.5000  8 Nd 3.33, 2 Hg 3.50
4 Zr 0.5000 0.0000 0.0000  8 Nd 3.33, 2 Zr 3.50

[4]
Computed, not measured: crystalline NdZrHg6 at its relaxed geometry at the GGA-PBE level of DFT.

As for the space-group type: P4/mmm. The value obtained for the density of states at the Fermi level is 7.866 states/eV/f.u.

Lattice parameters (Å, degrees): 4.7288 4.7288 8.6031 90.00 90.00 90.00
With the nearest neighbours (Å) after each atom.
Atoms (fractional coordinates):
1 Nd 0.0000 0.0000 0.0000  12 Hg 3.29-3.34
2 Zr 0.0000 0.0000 0.5000  12 Hg 3.10-3.34
3 Hg 0.5000 0.5000 0.0000  8 Hg 3.29, 4 Nd 3.34
4 Hg 0.5000 0.5000 0.5000  8 Hg 3.10, 4 Zr 3.34
5 Hg 0.5000 0.0000 0.2661  8 Hg 3.10-3.34, 2 Zr 3.10, 2 Nd 3.29
6 Hg 0.5000 0.0000 0.7339  8 Hg 3.10-3.34, 2 Zr 3.10, 2 Nd 3.29
7 Hg 0.0000 0.5000 0.2661  2 Zr 3.10, 8 Hg 3.10-3.34, 2 Nd 3.29
8 Hg 0.0000 0.5000 0.7339  2 Zr 3.10, 8 Hg 3.10-3.34, 2 Nd 3.29

[5]
Computed, not measured: crystalline Nd2ZrHg at its relaxed geometry at the GGA-PBE level of DFT.

The energy relative to the lowest polymorph listed for this composition comes out at 0.00 eV per formula unit. As for the space-group type: P4/mmm. The value obtained for the density of states at the Fermi level is 4.832 states/eV/f.u.

Lattice parameters (Å, degrees): 3.5282 3.5282 9.1342 90.00 90.00 90.00
With the nearest neighbours (Å) after each atom.
Atoms (fractional coordinates):
1 Nd 0.0000 0.0000 0.7579  4 Hg 3.33, 4 Zr 3.43, 4 Nd 3.53
2 Nd 0.0000 0.0000 0.2421  4 Hg 3.33, 4 Zr 3.43, 4 Nd 3.53
3 Hg 0.5000 0.5000 0.0000  8 Nd 3.33, 4 Hg 3.53
4 Zr 0.5000 0.5000 0.5000  8 Nd 3.43, 4 Zr 3.53

[6]
Computed, not measured: crystalline Nd2ZrHg at its relaxed geometry at the GGA-PBE level of DFT.

The energy relative to the lowest polymorph listed for this composition comes out at 1.44 eV per formula unit. As for the space-group type: R-3m. The value obtained for the density of states at the Fermi level is 5.489 states/eV/f.u.

Lattice parameters (Å, degrees): 3.3577 3.3577 11.9655 81.93 81.93 60.00
With the nearest neighbours (Å) after each atom.
Atoms (fractional coordinates):
1 Nd 0.0905 0.0905 0.7285  1 Zr 3.21, 3 Hg 3.32, 6 Nd 3.36
2 Nd 0.9095 0.9095 0.2715  1 Zr 3.21, 3 Hg 3.32, 6 Nd 3.36
3 Hg 0.5000 0.5000 0.5000  6 Nd 3.32, 6 Hg 3.36
4 Zr 0.0000 0.0000 0.0000  2 Nd 3.21, 6 Zr 3.36

[7]
Computed, not measured: crystalline NdZrHg2 at its relaxed geometry at the GGA-PBE level of DFT.

The energy relative to the lowest polymorph listed for this composition comes out at 0.20 eV per formula unit. As for the space-group type: Fm-3m. The value obtained for the density of states at the Fermi level is 4.694 states/eV/f.u.

Lattice parameters (Å, degrees): 5.2151 5.2151 5.2151 60.00 60.00 60.00
With the nearest neighbours (Å) after each atom.
Atoms (fractional coordinates):
1 Nd 0.5000 0.5000 0.5000  8 Hg 3.19
2 Hg 0.2500 0.2500 0.2500  4 Zr 3.19, 4 Nd 3.19
3 Hg 0.7500 0.7500 0.7500  4 Zr 3.19, 4 Nd 3.19
4 Zr 0.0000 0.0000 0.0000  8 Hg 3.19

[8]
Computed, not measured: crystalline NdZrHg2 at its relaxed geometry at the GGA-PBE level of DFT.

The energy relative to the lowest polymorph listed for this composition comes out at 0.00 eV per formula unit. As for the space-group type: P4/mmm. The value obtained for the density of states at the Fermi level is 4.705 states/eV/f.u.

Lattice parameters (Å, degrees): 3.6245 3.6245 7.5636 90.00 90.00 90.00
With the nearest neighbours (Å) after each atom.
Atoms (fractional coordinates):
1 Nd 0.5000 0.5000 0.5000  8 Hg 3.32, 4 Nd 3.62
2 Hg 0.0000 0.0000 0.7785  4 Zr 3.06, 4 Nd 3.32, 1 Hg 3.35
3 Hg 0.0000 0.0000 0.2215  4 Zr 3.06, 4 Nd 3.32, 1 Hg 3.35
4 Zr 0.5000 0.5000 0.0000  8 Hg 3.06

For each record above, in turn, the calculated electronic total energy values are -3.38 -3.69 -4.66 -2.08 -4.73 -4.37 -3.69 -3.74 eV per atom.
For each record above, in turn, the calculated energy relative to the elements values are -0.059 -0.206 -0.065 -0.185 -0.132 0.228 -0.210 -0.260 eV/atom.